1.
Below is a geometry-optimized Nb2SbPH structure, with properties calculated at the PBE level.

a = 4.9184 Å, b = 3.3570 Å, c = 4.9184 Å
α = 90.00°, β = 90.00°, γ = 90.00°
Last column: nearest neighbours and their distance in Å.
Fractional positions:
Sb  0.5000  0.5000  0.5000  8 Nb 2.98
P  0.0000  0.0000  0.0000  2 H 1.68
Nb  0.0000  0.0000  0.5000  2 P 2.46
Nb  0.5000  0.0000  0.0000  2 P 2.46
H  0.0000  0.5000  0.0000  2 P 1.68

Its crystal system is tetragonal. Its final energy is -6.518 eV/atom. The density of states at the Fermi level comes out at 4.7 states/eV per cell.

=====

2.
Below is a geometry-optimized NbSnPH2 structure, with properties calculated at the PBE level.

a = 3.8925 Å, b = 4.9273 Å, c = 3.8925 Å
α = 90.00°, β = 90.00°, γ = 90.00°
Last column: nearest neighbours and their distance in Å.
Fractional positions:
Sn  0.5000  0.5000  0.5000  4 P 2.75
H  0.0000  0.0000  0.5000  2 Nb 1.95
H  0.5000  0.0000  0.0000  2 Nb 1.95
P  0.0000  0.5000  0.0000  2 Nb 2.46, 4 Sn 2.75
Nb  0.0000  0.0000  0.0000  4 H 1.95

Its crystal system is tetragonal. Its final energy is -5.094 eV/atom. The density of states at the Fermi level comes out at 2.5 states/eV per cell.

=====

- Which of these has the highest final energy?
  NbSnPH2

=====

- Among the records above, which one has the highest final energy?
  NbSnPH2

=====

- The highest final energy belongs to which entry?
  NbSnPH2